a:
! Tb8Cu2Ni (PBE, relaxed); values from VASP
&SYSTEM
  ibrav = 0, nat = 11, ntyp = 3
/
ATOMIC_SPECIES
Tb 158.93 Tb.upf
Cu 63.55 Cu.upf
Ni 58.69 Ni.upf
ATOMIC_POSITIONS crystal
Tb 0.411 0.556 0.821
Tb 0.664 0.976 0.329
Tb 0.799 0.670 0.598
Tb 0.968 0.213 0.936
Tb 0.201 0.330 0.402
Tb 0.336 0.024 0.671
Tb 0.589 0.444 0.179
Tb 0.032 0.787 0.064
Cu 0.813 0.266 0.625
Cu 0.187 0.734 0.375
Ni 0.500 0.000 0.000
CELL_PARAMETERS angstrom
-4.261 -2.067 1.811
2.513 0.223 6.168
-1.955 8.578 -1.906
! magnetization = 0.0 μB per cell
! crystal system = monoclinic


b:
! Tb8Cu2Ni (PBE, relaxed); values from VASP
&SYSTEM
  ibrav = 0, nat = 11, ntyp = 3
/
ATOMIC_SPECIES
Tb 158.93 Tb.upf
Cu 63.55 Cu.upf
Ni 58.69 Ni.upf
ATOMIC_POSITIONS crystal
Tb 0.598 0.351 0.095
Tb 0.598 0.095 0.351
Tb 0.184 0.363 0.363
Tb 0.981 0.192 0.807
Tb 0.981 0.807 0.192
Tb 0.791 0.642 0.642
Tb 0.346 0.908 0.651
Tb 0.346 0.651 0.908
Cu 0.493 0.704 0.314
Cu 0.493 0.314 0.704
Ni 0.187 0.006 0.006
CELL_PARAMETERS angstrom
5.869 -0.070 -1.071
-2.078 6.788 -3.058
-0.196 -0.322 7.720
! magnetization = 0.0 μB per cell
! crystal system = monoclinic


The least stable of them is b.